# Y2SnOsI | the Alexandria database | PBE | optimized geometry
data_Y2SnOsI
_chemical_formula_sum 'Y2 Sn1 Os1 I1'
_cell_length_a 5.7484
_cell_length_b 5.7484
_cell_length_c 5.6498
_cell_angle_alpha 90.00
_cell_angle_beta 90.00
_cell_angle_gamma 90.00
_space_group_name_H-M_alt 'P 4/m m m'
_space_group_IT_number 123
_space_group_name_Hall '-P 4 2'
loop_
_atom_site_label
_atom_site_fract_x
_atom_site_fract_y
_atom_site_fract_z
Y1 0.0000 0.5000 0.0000
Sn1 0.0000 0.0000 0.0000
Os1 0.5000 0.5000 0.5000
I1 0.0000 0.0000 0.5000
# - energy relative to the elements, uncorrected (meV per atom) = 1334